Arrangement one

KGeBiS4 | PBE | optimized geometry

It has space group P2_1/m (No. 11), with a = 6.686 Å, b = 6.853 Å, c = 8.820 Å, α = 90.00°, β = 107.39° and γ = 90.00°. The inequivalent atoms are K at (0.231, 0.250, 0.438), Ge at (0.270, 0.750, 0.175), Bi at (0.272, 0.250, 0.956), S at (0.064, 0.750, 0.924), S at (0.067, 0.750, 0.331) and S at (0.493, 0.002, 0.216).

For the magnetization, the calculation gives 0.00 μB/f.u. Its calculated volume is 385.7 Å³ per cell.

---

Arrangement two

KGeBiS4 | PBE | optimized geometry

It has space group P2_1/c (No. 14), with a = 6.702 Å, b = 6.870 Å, c = 17.614 Å, α = 90.00°, β = 107.09° and γ = 90.00°. The inequivalent atoms are K at (0.225, 0.244, 0.466), Ge at (0.285, 0.737, 0.842), Bi at (0.263, 0.195, 0.220), S at (0.074, 0.741, 0.418), S at (0.085, 0.674, 0.717), S at (0.488, 0.506, 0.133) and S at (0.489, 0.000, 0.855).

For the magnetization, the calculation gives 0.00 μB/f.u. Its calculated volume is 775.2 Å³ per cell.

---

On energetic grounds, arrangement two is preferred over the next structure by 1.3 kJ/mol of atoms.

---

Arrangement one

LaGe2Bi2 | PBE | optimized geometry

It has space group P4/mbm (No. 127), with a = 8.460 Å, b = 8.460 Å, c = 3.964 Å, α = 90.00°, β = 90.00° and γ = 90.00°. The inequivalent atoms are La at (0.000, 0.000, 0.000), Ge at (0.183, 0.317, 0.500) and Bi at (0.134, 0.634, 0.000).

For the magnetization, the calculation gives 0.00 μB/f.u. Its calculated volume is 283.7 Å³ per cell.

---

Arrangement two

LaGe2Bi2 | PBE | optimized geometry

It has space group P4/mbm (No. 127), with a = 8.022 Å, b = 8.022 Å, c = 4.243 Å, α = 90.00°, β = 90.00° and γ = 90.00°. The inequivalent atoms are La at (0.000, 0.000, 0.000), Ge at (0.116, 0.384, 0.000) and Bi at (0.195, 0.695, 0.500).

For the magnetization, the calculation gives 0.00 μB/f.u. Its calculated volume is 273.0 Å³ per cell.

---

On energetic grounds, arrangement two is preferred over the next structure by 16.2 kJ/mol of atoms.

---

Arrangement one

La2GeBi2 | PBE | optimized geometry

It has space group P4/mbm (No. 127), with a = 8.367 Å, b = 8.367 Å, c = 4.583 Å, α = 90.00°, β = 90.00° and γ = 90.00°. The inequivalent atoms are La at (0.158, 0.342, 0.000), Ge at (0.000, 0.000, 0.500) and Bi at (0.152, 0.652, 0.500).

For the magnetization, the calculation gives 0.00 μB/f.u. Its calculated volume is 320.8 Å³ per cell.

---

Arrangement two

La2GeBi2 | PBE | optimized geometry

It has space group P4/mbm (No. 127), with a = 8.306 Å, b = 8.306 Å, c = 4.817 Å, α = 90.00°, β = 90.00° and γ = 90.00°. The inequivalent atoms are La at (0.176, 0.324, 0.000), Ge at (0.000, 0.000, 0.000) and Bi at (0.132, 0.632, 0.500).

For the magnetization, the calculation gives 0.00 μB/f.u. Its calculated volume is 332.3 Å³ per cell.

---

On energetic grounds, arrangement one is preferred over the next structure by 4.1 kJ/mol of atoms.

---

Arrangement one

La4Ge2Bi | PBE | optimized geometry

It has space group I-42d (No. 122), with a = 9.574 Å, b = 9.574 Å, c = 9.510 Å, α = 90.00°, β = 90.00° and γ = 90.00°. The inequivalent atoms are La at (0.069, 0.173, 0.317), Ge at (0.129, 0.250, 0.625) and Bi at (0.000, 0.000, 0.000).

For the magnetization, the calculation gives 0.00 μB/f.u. Its calculated volume is 871.7 Å³ per cell.

---

Arrangement two

La4Ge2Bi | PBE | optimized geometry

It has space group Imma (No. 74), with a = 9.921 Å, b = 10.025 Å, c = 9.872 Å, α = 90.00°, β = 90.00° and γ = 90.00°. The inequivalent atoms are La at (0.000, 0.073, 0.205), La at (0.176, 0.250, 0.544), Ge at (0.000, 0.000, 0.500), Ge at (0.250, 0.250, 0.250) and Bi at (0.000, 0.250, 0.875).

For the magnetization, the calculation gives 0.02 μB/f.u. Its calculated volume is 981.8 Å³ per cell.

---

Arrangement three

La4Ge2Bi | PBE | optimized geometry

It has space group I4/mmm (No. 139), with a = 6.159 Å, b = 6.159 Å, c = 14.577 Å, α = 90.00°, β = 90.00° and γ = 90.00°. The inequivalent atoms are La at (0.000, 0.000, 0.223), La at (0.000, 0.500, 0.000), Ge at (0.000, 0.000, 0.417) and Bi at (0.000, 0.000, 0.000).

For the magnetization, the calculation gives 0.00 μB/f.u. Its calculated volume is 553.0 Å³ per cell.

---

On energetic grounds, arrangement one is preferred over the next structure by 11.8 kJ/mol of atoms.